Entry 1:
The following is a PBE calculation of crystalline TiGaO at its relaxed geometry, from Alexandria via LeMat-Bulk.

It has space group Cmcm (No. 63), with a = 2.9956 Å, b = 15.8404 Å, c = 3.9717 Å, α = 90.00°, β = 90.00° and γ = 90.00°. The inequivalent atoms are Ti at (0.0000, 0.2047, 0.2500), Ga at (0.0000, 0.4446, 0.7500) and O at (0.0000, 0.2039, 0.7500).

Its total energy is -6.773 eV per atom. The total magnetic moment comes out at 0.00 Bohr magnetons per cell. The calculation puts the density of states at the Fermi level at 7.96 states/eV/cell.

***

Entry 2:
The following is a PBE calculation of crystalline Sr2RuI2 at its relaxed geometry, from Alexandria via LeMat-Bulk.

It has space group P4/mmm (No. 123), with a = 6.0031 Å, b = 6.0031 Å, c = 11.1770 Å, α = 90.00°, β = 90.00° and γ = 90.00°. The inequivalent atoms are Sr at (0.0000, 0.0000, 0.0000), Sr at (0.0000, 0.0000, 0.5000), Ru at (0.5000, 0.5000, 0.0000) and I at (0.0000, 0.5000, 0.5000).

Its total energy is -2.651 eV per atom. The total magnetic moment comes out at 2.66 Bohr magnetons per cell. The calculation puts the density of states at the Fermi level at 8.85 states/eV/cell.

***

Entry 3:
The following is a PBE calculation of crystalline CsTiOs2 at its relaxed geometry, from Alexandria via LeMat-Bulk.

It has space group I-42d (No. 122), with a = 5.0569 Å, b = 5.0569 Å, c = 17.1085 Å, α = 90.00°, β = 90.00° and γ = 90.00°. The inequivalent atoms are Cs at (0.0000, 0.0000, 0.0000), Ti at (0.0000, 0.0000, 0.5000) and Os at (0.0262, 0.2500, 0.6250).

The total magnetic moment comes out at 0.00 Bohr magnetons per cell. Its energy of formation is 1.340 eV/atom. The calculation puts the density of states at the Fermi level at 11.40 states/eV/cell.

***

Entry 4:
The following is a PBE calculation of crystalline Sr4CoTe at its relaxed geometry, from Alexandria via LeMat-Bulk.

It has space group F-43m (No. 216), with a = 9.9406 Å, b = 9.9406 Å, c = 9.9406 Å, α = 90.00°, β = 90.00° and γ = 90.00°. The inequivalent atoms are Sr at (0.1252, 0.1252, 0.1252), Co at (0.0000, 0.0000, 0.5000) and Te at (0.2500, 0.2500, 0.7500).

Its total energy is -2.264 eV per atom. The total magnetic moment comes out at 4.85 Bohr magnetons per cell. The calculation puts the density of states at the Fermi level at 21.87 states/eV/cell.

***

Entry 5:
The following is a PBE calculation of crystalline SrV2Hg2 at its relaxed geometry, from Alexandria via LeMat-Bulk.

It has space group P4/mbm (No. 127), with a = 8.4332 Å, b = 8.4332 Å, c = 3.2025 Å, α = 90.00°, β = 90.00° and γ = 90.00°. The inequivalent atoms are Sr at (0.0000, 0.0000, 0.0000), V at (0.0799, 0.4201, 0.5000) and Hg at (0.2031, 0.7031, 0.0000).

The total magnetic moment comes out at 0.00 Bohr magnetons per cell. Its energy of formation is 0.439 eV/atom. The calculation puts the density of states at the Fermi level at 9.50 states/eV/cell.

***

Entry 6:
The following is a PBE calculation of crystalline Pm2Mg5Hg4 at its relaxed geometry, from Alexandria via LeMat-Bulk.

It has space group Fmmm (No. 69), with a = 6.0101 Å, b = 9.8111 Å, c = 18.9220 Å, α = 90.00°, β = 90.00° and γ = 90.00°. The inequivalent atoms are Pm at (0.0000, 0.0000, 0.1067), Mg at (0.0000, 0.0000, 0.5000), Mg at (0.2500, 0.2500, 0.0000), Mg at (0.2500, 0.2500, 0.2500) and Hg at (0.0000, 0.1601, 0.3694).

The total magnetic moment comes out at 0.00 Bohr magnetons per cell. Its energy of formation is -0.216 eV/atom. The calculation puts the density of states at the Fermi level at 21.24 states/eV/cell.

***

Entry 7:
The following is a PBE calculation of crystalline Sr4Te3Br at its relaxed geometry, from Alexandria via LeMat-Bulk.

It has space group R-3m (No. 166, hexagonal axes), with a = 4.7368 Å, b = 4.7368 Å, c = 45.2423 Å, α = 90.00°, β = 90.00° and γ = 120.00°. The inequivalent atoms are Sr at (0.0000, 0.0000, 0.1245), Sr at (0.0000, 0.0000, 0.3747), Te at (0.0000, 0.0000, 0.2526), Te at (0.0000, 0.0000, 0.5000) and Br at (0.0000, 0.0000, 0.0000).

Its total energy is -3.885 eV per atom. The total magnetic moment comes out at 0.00 Bohr magnetons per cell. The calculation puts the density of states at the Fermi level at 8.83 states/eV/cell.

***

Entry 8:
The following is a PBE calculation of crystalline Ac2Nd2Ni15 at its relaxed geometry, from Alexandria via LeMat-Bulk.

It has space group R-3m (No. 166, hexagonal axes), with a = 8.7628 Å, b = 8.7628 Å, c = 12.9175 Å, α = 90.00°, β = 90.00° and γ = 120.00°. The inequivalent atoms are Ac at (0.0000, 0.0000, 0.1415), Nd at (0.0000, 0.0000, 0.3891), Ni at (0.0000, 0.3069, 0.5000), Ni at (0.0000, 0.5000, 0.0000) and Ni at (0.0086, 0.5043, 0.6578).

The total magnetic moment comes out at 4.78 Bohr magnetons per cell. Its energy of formation is -0.104 eV/atom. The calculation puts the density of states at the Fermi level at 78.85 states/eV/cell.

***

Entry 9:
The following is a PBE calculation of crystalline Rb2NaMnCl6 at its relaxed geometry, from Alexandria via LeMat-Bulk.

It has space group I4/mmm (No. 139), with a = 7.5708 Å, b = 7.5708 Å, c = 9.0939 Å, α = 90.00°, β = 90.00° and γ = 90.00°. The inequivalent atoms are Rb at (0.0000, 0.5000, 0.2500), Na at (0.0000, 0.0000, 0.0000), Mn at (0.0000, 0.0000, 0.5000), Cl at (0.0000, 0.0000, 0.2619) and Cl at (0.2328, 0.2328, 0.5000).

Its total energy is -3.844 eV per atom. The total magnetic moment comes out at 8.00 Bohr magnetons per cell. The calculation puts the density of states at the Fermi level at 0.36 states/eV/cell.